5
Lattice="4.6221 0.0000 0.0000 0.0000 4.6221 0.0000 0.0000 0.0000 4.6221" Properties=species:S:1:pos:R:3 comment="Li3BeFe | Alexandria | PBE-GGA | optimized geometry" e_above_lowest_polymorph_mev_per_atom=4 dft_energy_ev_per_cell=-12.3 sg="Pm-3m, No. 221" magmom_total_mub_per_fu=2.40 formation_energy_mev_per_atom=1125.4 density_g_cm3=1.441 pbc="T T T"
Be 2.3110 2.3110 2.3110
Li 2.3110 0.0000 0.0000
Li 0.0000 2.3110 0.0000
Li 0.0000 0.0000 2.3110
Fe 0.0000 0.0000 0.0000


4
Lattice="3.7452 0.0000 0.0000 0.0000 4.8437 0.0000 0.0000 0.0000 6.8231" Properties=species:S:1:pos:R:3 comment="La2CdIn | Alexandria | PBE-GGA | optimized geometry" dft_energy_ev_per_cell=-14.4 sg="Pmm2, No. 25" magmom_total_mub_per_fu=0.00 formation_energy_mev_per_atom=-218.1 density_g_cm3=6.776 pbc="T T T"
In 1.8726 2.4219 5.1812
La 0.0000 0.0000 6.6705
La 1.8726 2.4219 1.8580
Cd 0.0000 0.0000 3.3480